## Ga2GeI6 (PBE)

Data for an optimized crystal structure of Ga2GeI6.

Geometry as CIF:
```
data_Ga2GeI6
_cell_length_a 10.279
_cell_length_b 10.279
_cell_length_c 9.385
_cell_angle_alpha 107.64
_cell_angle_beta 107.64
_cell_angle_gamma 87.85
_space_group_name_H-M_alt 'P 1'
_space_group_IT_number 1
loop_
_space_group_symop_operation_xyz
'x,y,z'
loop_
_atom_site_label
_atom_site_fract_x
_atom_site_fract_y
_atom_site_fract_z
Ga1 0.105 0.279 0.264
Ga2 0.279 0.105 0.764
Ga3 0.721 0.895 0.236
Ga4 0.895 0.721 0.736
Ge1 0.400 0.600 0.750
Ge2 0.600 0.400 0.250
I1 0.134 0.145 0.972
I2 0.140 0.576 0.776
I3 0.145 0.134 0.472
I4 0.296 0.493 0.386
I5 0.424 0.860 0.724
I6 0.493 0.296 0.886
I7 0.507 0.704 0.114
I8 0.576 0.140 0.276
I9 0.704 0.507 0.614
I10 0.855 0.866 0.528
I11 0.860 0.424 0.224
I12 0.866 0.855 0.028
```

Output
E   -45.53 eV/cell
SG   C2/c (15)
Fermi-level density of states   1.6 states/eV/f.u.

## Ga2GeI6 (PBE)

Data for an optimized crystal structure of Ga2GeI6.

Geometry as CIF:
```
data_Ga2GeI6
_cell_length_a 9.379
_cell_length_b 9.379
_cell_length_c 9.379
_cell_angle_alpha 47.29
_cell_angle_beta 47.29
_cell_angle_gamma 47.29
_space_group_name_H-M_alt 'P 1'
_space_group_IT_number 1
loop_
_space_group_symop_operation_xyz
'x,y,z'
loop_
_atom_site_label
_atom_site_fract_x
_atom_site_fract_y
_atom_site_fract_z
Ga1 0.000 0.000 0.000
Ga2 0.096 0.096 0.096
Ge1 0.381 0.381 0.381
I1 0.003 0.277 0.616
I2 0.168 0.781 0.443
I3 0.277 0.616 0.003
I4 0.443 0.168 0.781
I5 0.616 0.003 0.277
I6 0.781 0.443 0.168
```

Output
E   -23.68 eV/cell
SG   R3 (146)
Fermi-level density of states   0.0 states/eV/f.u.

## GaGeI3 (PBE)

Data for an optimized crystal structure of GaGeI3.

Geometry as CIF:
```
data_GaGeI3
_cell_length_a 5.848
_cell_length_b 5.848
_cell_length_c 5.848
_cell_angle_alpha 90.00
_cell_angle_beta 90.00
_cell_angle_gamma 90.00
_space_group_name_H-M_alt 'P 1'
_space_group_IT_number 1
loop_
_space_group_symop_operation_xyz
'x,y,z'
loop_
_atom_site_label
_atom_site_fract_x
_atom_site_fract_y
_atom_site_fract_z
Ga1 0.000 0.000 0.000
Ge1 0.500 0.500 0.500
I1 0.000 0.500 0.500
I2 0.500 0.000 0.500
I3 0.500 0.500 0.000
```

Output
E   -13.11 eV/cell
SG   Pm-3m (221)
Fermi-level density of states   0.0 states/eV/f.u.

## Ga2Ge2I (PBE)

Data for an optimized crystal structure of Ga2Ge2I.

Geometry as CIF:
```
data_Ga2Ge2I
_cell_length_a 8.025
_cell_length_b 8.025
_cell_length_c 3.631
_cell_angle_alpha 90.00
_cell_angle_beta 90.00
_cell_angle_gamma 90.00
_space_group_name_H-M_alt 'P 1'
_space_group_IT_number 1
loop_
_space_group_symop_operation_xyz
'x,y,z'
loop_
_atom_site_label
_atom_site_fract_x
_atom_site_fract_y
_atom_site_fract_z
Ga1 0.177 0.323 0.000
Ga2 0.323 0.823 0.000
Ga3 0.677 0.177 0.000
Ga4 0.823 0.677 0.000
Ge1 0.121 0.621 0.500
Ge2 0.379 0.121 0.500
Ge3 0.621 0.879 0.500
Ge4 0.879 0.379 0.500
I1 0.000 0.000 0.500
I2 0.500 0.500 0.500
```

Output
E   -31.48 eV/cell
SG   P4/mbm (127)
Fermi-level density of states   2.8 states/eV/f.u.

## GaGe2I8 (PBE)

Data for an optimized crystal structure of GaGe2I8.

Geometry as CIF:
```
data_GaGe2I8
_cell_length_a 9.008
_cell_length_b 9.008
_cell_length_c 7.510
_cell_angle_alpha 98.74
_cell_angle_beta 98.74
_cell_angle_gamma 78.58
_space_group_name_H-M_alt 'P 1'
_space_group_IT_number 1
loop_
_space_group_symop_operation_xyz
'x,y,z'
loop_
_atom_site_label
_atom_site_fract_x
_atom_site_fract_y
_atom_site_fract_z
Ga1 0.000 0.000 0.000
Ge1 0.207 0.207 0.694
Ge2 0.793 0.793 0.306
I1 0.065 0.696 0.198
I2 0.161 0.161 0.331
I3 0.304 0.935 0.802
I4 0.394 0.394 0.854
I5 0.606 0.606 0.146
I6 0.696 0.065 0.198
I7 0.839 0.839 0.669
I8 0.935 0.304 0.802
```

Output
E   -27.28 eV/cell
SG   C2/m (12)
Fermi-level density of states   3.5 states/eV/f.u.

## Ga5Ge3I12 (PBE)

Data for an optimized crystal structure of Ga5Ge3I12.

Geometry as CIF:
```
data_Ga5Ge3I12
_cell_length_a 16.026
_cell_length_b 16.026
_cell_length_c 16.026
_cell_angle_alpha 109.47
_cell_angle_beta 109.47
_cell_angle_gamma 109.47
_space_group_name_H-M_alt 'P 1'
_space_group_IT_number 1
loop_
_space_group_symop_operation_xyz
'x,y,z'
loop_
_atom_site_label
_atom_site_fract_x
_atom_site_fract_y
_atom_site_fract_z
Ga1 0.000 0.000 0.000
Ga2 0.000 0.000 0.500
Ga3 0.000 0.500 0.000
Ga4 0.000 0.500 0.500
Ga5 0.125 0.750 0.875
Ga6 0.125 0.875 0.250
Ga7 0.250 0.125 0.875
Ga8 0.250 0.625 0.375
Ga9 0.375 0.250 0.625
Ga10 0.375 0.625 0.750
Ga11 0.500 0.000 0.000
Ga12 0.500 0.000 0.500
Ga13 0.500 0.500 0.000
Ga14 0.500 0.500 0.500
Ga15 0.625 0.375 0.250
Ga16 0.625 0.750 0.375
Ga17 0.750 0.375 0.625
Ga18 0.750 0.875 0.125
Ga19 0.875 0.125 0.750
Ga20 0.875 0.250 0.125
Ge1 0.125 0.250 0.375
Ge2 0.125 0.375 0.750
Ge3 0.250 0.375 0.125
Ge4 0.250 0.875 0.625
Ge5 0.375 0.125 0.250
Ge6 0.375 0.750 0.125
Ge7 0.625 0.250 0.875
Ge8 0.625 0.875 0.750
Ge9 0.750 0.125 0.375
Ge10 0.750 0.625 0.875
Ge11 0.875 0.625 0.250
Ge12 0.875 0.750 0.625
I1 0.054 0.232 0.124
I2 0.054 0.322 0.930
I3 0.070 0.624 0.392
I4 0.070 0.946 0.678
I5 0.108 0.732 0.678
I6 0.108 0.876 0.430
I7 0.124 0.054 0.232
I8 0.124 0.570 0.892
I9 0.178 0.232 0.608
I10 0.178 0.446 0.570
I11 0.232 0.124 0.054
I12 0.232 0.608 0.178
I13 0.268 0.322 0.892
I14 0.268 0.446 0.376
I15 0.322 0.892 0.268
I16 0.322 0.930 0.054
I17 0.376 0.268 0.446
I18 0.376 0.608 0.930
I19 0.392 0.070 0.624
I20 0.392 0.822 0.768
I21 0.430 0.108 0.876
I22 0.430 0.822 0.554
I23 0.446 0.376 0.268
I24 0.446 0.570 0.178
I25 0.554 0.430 0.822
I26 0.554 0.624 0.732
I27 0.570 0.178 0.446
I28 0.570 0.892 0.124
I29 0.608 0.178 0.232
I30 0.608 0.930 0.376
I31 0.624 0.392 0.070
I32 0.624 0.732 0.554
I33 0.678 0.070 0.946
I34 0.678 0.108 0.732
I35 0.732 0.554 0.624
I36 0.732 0.678 0.108
I37 0.768 0.392 0.822
I38 0.768 0.876 0.946
I39 0.822 0.554 0.430
I40 0.822 0.768 0.392
I41 0.876 0.430 0.108
I42 0.876 0.946 0.768
I43 0.892 0.124 0.570
I44 0.892 0.268 0.322
I45 0.930 0.054 0.322
I46 0.930 0.376 0.608
I47 0.946 0.678 0.070
I48 0.946 0.768 0.876
```

Output
E   -197.12 eV/cell
SG   Ia-3d (230)
Fermi-level density of states   11.3 states/eV/f.u.

## Ga2GeIrI (PBE)

Data for an optimized crystal structure of Ga2GeIrI.

Geometry as CIF:
```
data_Ga2GeIrI
_cell_length_a 4.992
_cell_length_b 4.992
_cell_length_c 4.770
_cell_angle_alpha 90.00
_cell_angle_beta 90.00
_cell_angle_gamma 90.00
_space_group_name_H-M_alt 'P 1'
_space_group_IT_number 1
loop_
_space_group_symop_operation_xyz
'x,y,z'
loop_
_atom_site_label
_atom_site_fract_x
_atom_site_fract_y
_atom_site_fract_z
Ga1 0.000 0.500 0.000
Ga2 0.500 0.000 0.000
Ge1 0.000 0.000 0.500
Ir1 0.000 0.000 0.000
I1 0.500 0.500 0.500
```

Output
E   -22.58 eV/cell
SG   P4/mmm (123)
Fermi-level density of states   0.4 states/eV/f.u.

## K2GaGeI5 (PBE)

Data for an optimized crystal structure of K2GaGeI5.

Geometry as CIF:
```
data_K2GaGeI5
_cell_length_a 10.373
_cell_length_b 10.373
_cell_length_c 16.466
_cell_angle_alpha 90.00
_cell_angle_beta 90.00
_cell_angle_gamma 154.29
_space_group_name_H-M_alt 'P 1'
_space_group_IT_number 1
loop_
_space_group_symop_operation_xyz
'x,y,z'
loop_
_atom_site_label
_atom_site_fract_x
_atom_site_fract_y
_atom_site_fract_z
K1 0.081 0.919 0.500
K2 0.132 0.868 0.155
K3 0.868 0.132 0.655
K4 0.919 0.081 0.000
Ga1 0.451 0.549 0.306
Ga2 0.549 0.451 0.806
Ge1 0.231 0.769 0.889
Ge2 0.769 0.231 0.389
I1 0.088 0.912 0.930
I2 0.253 0.747 0.516
I3 0.292 0.708 0.268
I4 0.378 0.622 0.841
I5 0.499 0.501 0.122
I6 0.501 0.499 0.622
I7 0.622 0.378 0.341
I8 0.708 0.292 0.768
I9 0.747 0.253 0.016
I10 0.912 0.088 0.430
```

Output
E   -49.60 eV/cell
SG   Cmc2_1 (36)